Material: BaLiYCu2O5
Method: DFT, PBE
State: relaxed

The structure belongs to space group Pmm2 (No. 25); the cell edges are 3.772, 3.949 and 9.161 Å and the angles 90.00°, 90.00° and 90.00°. The inequivalent atoms are Ba at (0.000, 0.000, 0.000), Li at (0.000, 0.500, 0.764), Y at (0.000, 0.000, 0.404), Cu at (0.500, 0.500, 0.221), Cu at (0.500, 0.500, 0.576), O at (0.000, 0.500, 0.242), O at (0.000, 0.500, 0.554), O at (0.500, 0.000, 0.225), O at (0.500, 0.000, 0.544) and O at (0.500, 0.500, 0.882).

As for the polymorph energy (0 for the lowest one): 0.9 meV per atom. Its total magnetization is 0.00 μB/f.u. The raw formation energy comes out at -1.78 eV per atom. The energy is -6.1048 eV per atom.

---

Material: Tb4Dy4Ho5
Method: DFT, PBE
State: relaxed

The structure belongs to space group I4/m (No. 87); the cell edges are 12.746, 12.746 and 4.986 Å and the angles 90.00°, 90.00° and 90.00°. The inequivalent atoms are Tb at (0.154, 0.230, 0.000), Dy at (0.077, 0.615, 0.000), Ho at (0.000, 0.000, 0.000) and Ho at (0.038, 0.808, 0.500).

As for the energy relative to the elements: 0.02 eV/atom. Its total magnetization is 0.00 μB/f.u. The energy is -4.5851 eV per atom.

---

Material: XeF4
Method: DFT, PBE
State: relaxed

The structure belongs to space group P2_1/c (No. 14); the cell edges are 5.295, 6.009 and 7.308 Å and the angles 90.00°, 125.92° and 90.00°. The inequivalent atoms are Xe at (0.000, 0.000, 0.000), F at (0.066, 0.027, 0.304) and F at (0.428, 0.643, 0.656).

Its total magnetization is 0.00 μB/f.u. The raw formation energy comes out at -0.52 eV per atom. The energy is -2.0212 eV per atom.

---

- Number 1 is which compound?
  BaLiYCu2O5